[1]
# KAcCdS3 | Alexandria via LeMat-Bulk | GGA-PBE | optimized geometry
# **Formation energy without anion corrections**: -1.4122 eV per atom
data_KAcCdS3
_cell_length_a 8.9815
_cell_length_b 4.3912
_cell_length_c 10.2120
_cell_angle_alpha 90.00
_cell_angle_beta 102.17
_cell_angle_gamma 90.00
_space_group_name_H-M_alt 'P 1 21/m 1'
_space_group_IT_number 11
loop_
_space_group_symop_operation_xyz
'x,y,z'
'-x,-y,-z'
'-x,y+1/2,-z'
'x,-y+1/2,z'
loop_
_atom_site_label
_atom_site_fract_x
_atom_site_fract_y
_atom_site_fract_z
_atom_site_occupancy
K1 0.1787 0.2500 0.1901 1
Ac1 0.3398 0.7500 0.8455 1
Cd1 0.0812 0.2500 0.6059 1
S1 0.1113 0.2500 0.8562 1
S2 0.2015 0.7500 0.5330 1
S3 0.4354 0.7500 0.1406 1

***

[2]
# PmPuPa2S4 | Alexandria via LeMat-Bulk | GGA-PBE | optimized geometry
# **Formation energy without anion corrections**: -1.7343 eV per atom
data_PmPuPa2S4
_cell_length_a 6.7426
_cell_length_b 3.8998
_cell_length_c 6.9432
_cell_angle_alpha 90.00
_cell_angle_beta 108.96
_cell_angle_gamma 90.00
_space_group_name_H-M_alt 'P 1 2/m 1'
_space_group_IT_number 10
loop_
_space_group_symop_operation_xyz
'x,y,z'
'-x,-y,-z'
'-x,y,-z'
'x,-y,z'
loop_
_atom_site_label
_atom_site_fract_x
_atom_site_fract_y
_atom_site_fract_z
_atom_site_occupancy
Pm1 0.0000 0.0000 0.0000 1
Pu1 0.5000 0.5000 0.0000 1
Pa1 0.0000 0.5000 0.5000 1
Pa2 0.5000 0.0000 0.5000 1
S1 0.2533 0.0000 0.7490 1
S2 0.2547 0.5000 0.2540 1

***

[3]
# LiSnN | Alexandria via LeMat-Bulk | GGA-PBE | optimized geometry
# **Formation energy without anion corrections**: -0.1189 eV per atom
# **ΔE to the lowest computed polymorph**: 77 meV/atom
data_LiSnN
_cell_length_a 10.2836
_cell_length_b 3.2382
_cell_length_c 5.6207
_cell_angle_alpha 90.00
_cell_angle_beta 90.00
_cell_angle_gamma 90.00
_space_group_name_H-M_alt 'P n m a'
_space_group_IT_number 62
loop_
_space_group_symop_operation_xyz
'x,y,z'
'-x,-y,-z'
'-x+1/2,-y,z+1/2'
'x+1/2,y,-z+1/2'
'x+1/2,-y+1/2,-z+1/2'
'-x+1/2,y+1/2,z+1/2'
'-x,y+1/2,-z'
'x,-y+1/2,z'
loop_
_atom_site_label
_atom_site_fract_x
_atom_site_fract_y
_atom_site_fract_z
_atom_site_occupancy
Li1 0.0907 0.2500 0.0077 1
Sn1 0.1345 0.2500 0.4749 1
N1 0.0348 0.7500 0.2733 1

***

[4]
# Pr6Ge2O | Alexandria via LeMat-Bulk | GGA-PBE | optimized geometry
# **Formation energy without anion corrections**: -0.9741 eV per atom
data_Pr6Ge2O
_cell_length_a 6.5675
_cell_length_b 7.9666
_cell_length_c 11.4879
_cell_angle_alpha 90.00
_cell_angle_beta 123.17
_cell_angle_gamma 90.00
_space_group_name_H-M_alt 'P 1 21/c 1'
_space_group_IT_number 14
loop_
_space_group_symop_operation_xyz
'x,y,z'
'-x,-y,-z'
'-x,y+1/2,-z+1/2'
'x,-y+1/2,z+1/2'
loop_
_atom_site_label
_atom_site_fract_x
_atom_site_fract_y
_atom_site_fract_z
_atom_site_occupancy
Pr1 0.1099 0.1644 0.4478 1
Pr2 0.3060 0.7093 0.4431 1
Pr3 0.3724 0.0337 0.2455 1
Ge1 0.1914 0.1136 0.7569 1
O1 0.5000 0.0000 0.5000 1

***

[5]
# KNbInN2 | Alexandria via LeMat-Bulk | GGA-PBE | optimized geometry
# **Formation energy without anion corrections**: 2.9134 eV per atom
data_KNbInN2
_cell_length_a 4.4470
_cell_length_b 4.4470
_cell_length_c 5.0512
_cell_angle_alpha 90.00
_cell_angle_beta 90.00
_cell_angle_gamma 90.00
_space_group_name_H-M_alt 'P 4/m m m'
_space_group_IT_number 123
_space_group_name_Hall '-P 4 2'
loop_
_atom_site_label
_atom_site_fract_x
_atom_site_fract_y
_atom_site_fract_z
_atom_site_occupancy
K1 0.0000 0.0000 0.0000 1
Nb1 0.0000 0.0000 0.5000 1
In1 0.5000 0.5000 0.5000 1
N1 0.0000 0.5000 0.0000 1

***

[6]
# Sm4Sb3Te | Alexandria via LeMat-Bulk | GGA-PBE | optimized geometry
# **Formation energy without anion corrections**: -1.2568 eV per atom
# **ΔE to the lowest computed polymorph**: 8 meV/atom
data_Sm4Sb3Te
_cell_length_a 6.3132
_cell_length_b 6.3132
_cell_length_c 6.3132
_cell_angle_alpha 90.00
_cell_angle_beta 90.00
_cell_angle_gamma 90.00
_space_group_name_H-M_alt 'P m -3 m'
_space_group_IT_number 221
_space_group_name_Hall '-P 4 2 3'
loop_
_atom_site_label
_atom_site_fract_x
_atom_site_fract_y
_atom_site_fract_z
_atom_site_occupancy
Sm1 0.0000 0.0000 0.0000 1
Sm2 0.0000 0.5000 0.5000 1
Sb1 0.0000 0.0000 0.5000 1
Te1 0.5000 0.5000 0.5000 1

***

[7]
# RbPdRhS2 | Alexandria via LeMat-Bulk | GGA-PBE | optimized geometry
# **Formation energy without anion corrections**: -0.5225 eV per atom
data_RbPdRhS2
_cell_length_a 5.5679
_cell_length_b 13.6953
_cell_length_c 5.9474
_cell_angle_alpha 90.00
_cell_angle_beta 90.00
_cell_angle_gamma 90.00
_space_group_name_H-M_alt 'C m m e'
_space_group_IT_number 67
_space_group_name_Hall '-C 2a 2'
loop_
_atom_site_label
_atom_site_fract_x
_atom_site_fract_y
_atom_site_fract_z
_atom_site_occupancy
Rb1 0.0000 0.2500 0.2374 1
Pd1 0.0000 0.0000 0.0000 1
Rh1 0.2500 0.0000 0.5000 1
S1 0.0000 0.1062 0.7006 1

***

[8]
# Ca2HgTe | Alexandria via LeMat-Bulk | GGA-PBE | optimized geometry
# **Formation energy without anion corrections**: -0.7720 eV per atom
# **ΔE to the lowest computed polymorph**: 172 meV/atom
data_Ca2HgTe
_cell_length_a 7.7508
_cell_length_b 7.7508
_cell_length_c 7.7508
_cell_angle_alpha 90.00
_cell_angle_beta 90.00
_cell_angle_gamma 90.00
_space_group_name_H-M_alt 'F m -3 m'
_space_group_IT_number 225
_space_group_name_Hall '-F 4 2 3'
loop_
_atom_site_label
_atom_site_fract_x
_atom_site_fract_y
_atom_site_fract_z
_atom_site_occupancy
Ca1 0.2500 0.2500 0.2500 1
Hg1 0.0000 0.0000 0.0000 1
Te1 0.0000 0.0000 0.5000 1

***

[9]
# SiAuCl2 | Alexandria via LeMat-Bulk | GGA-PBE | optimized geometry
# **Formation energy without anion corrections**: 0.3615 eV per atom
# **ΔE to the lowest computed polymorph**: 760 meV/atom
data_SiAuCl2
_cell_length_a 3.8664
_cell_length_b 3.8664
_cell_length_c 11.2387
_cell_angle_alpha 90.00
_cell_angle_beta 90.00
_cell_angle_gamma 90.00
_space_group_name_H-M_alt 'I -4 m 2'
_space_group_IT_number 119
_space_group_name_Hall 'I -4 -2'
loop_
_atom_site_label
_atom_site_fract_x
_atom_site_fract_y
_atom_site_fract_z
_atom_site_occupancy
Si1 0.0000 0.0000 0.0000 1
Au1 0.0000 0.5000 0.7500 1
Cl1 0.0000 0.0000 0.5000 1
Cl2 0.0000 0.5000 0.2500 1

***

[10]
# BaNaZnPb | Alexandria via LeMat-Bulk | GGA-PBE | optimized geometry
# **ΔE_f**: -0.186 eV/atom
data_BaNaZnPb
_cell_length_a 8.0142
_cell_length_b 8.0142
_cell_length_c 8.0142
_cell_angle_alpha 90.00
_cell_angle_beta 90.00
_cell_angle_gamma 90.00
_space_group_name_H-M_alt 'F -4 3 m'
_space_group_IT_number 216
_space_group_name_Hall 'F -4 2 3'
loop_
_atom_site_label
_atom_site_fract_x
_atom_site_fract_y
_atom_site_fract_z
_atom_site_occupancy
Ba1 0.0000 0.0000 0.0000 1
Na1 0.0000 0.0000 0.5000 1
Zn1 0.2500 0.2500 0.2500 1
Pb1 0.2500 0.2500 0.7500 1

***

[11]
# CaTiCo2 | Alexandria via LeMat-Bulk | GGA-PBE | optimized geometry
# **ΔE_f**: 0.179 eV/atom
# **ΔE to the lowest computed polymorph**: 0 meV/atom
data_CaTiCo2
_cell_length_a 6.2656
_cell_length_b 6.2656
_cell_length_c 6.2656
_cell_angle_alpha 90.00
_cell_angle_beta 90.00
_cell_angle_gamma 90.00
_space_group_name_H-M_alt 'F m -3 m'
_space_group_IT_number 225
_space_group_name_Hall '-F 4 2 3'
loop_
_atom_site_label
_atom_site_fract_x
_atom_site_fract_y
_atom_site_fract_z
_atom_site_occupancy
Ca1 0.0000 0.0000 0.0000 1
Ti1 0.0000 0.0000 0.5000 1
Co1 0.2500 0.2500 0.2500 1

***

[12]
# La3Pr9Er2 | Alexandria via LeMat-Bulk | GGA-PBE | optimized geometry
# **ΔE_f**: 0.254 eV/atom
data_La3Pr9Er2
_cell_length_a 18.5015
_cell_length_b 10.6613
_cell_length_c 5.5148
_cell_angle_alpha 90.00
_cell_angle_beta 107.33
_cell_angle_gamma 90.00
_space_group_name_H-M_alt 'C 1 2/m 1'
_space_group_IT_number 12
loop_
_space_group_symop_operation_xyz
'x,y,z'
'-x,-y,-z'
'-x,y,-z'
'x,-y,z'
'x+1/2,y+1/2,z'
'-x+1/2,-y+1/2,-z'
'-x+1/2,y+1/2,-z'
'x+1/2,-y+1/2,z'
loop_
_atom_site_label
_atom_site_fract_x
_atom_site_fract_y
_atom_site_fract_z
_atom_site_occupancy
La1 0.0000 0.0000 0.0000 1
La2 0.1699 0.0000 0.6698 1
Pr1 0.0000 0.5000 0.0000 1
Pr2 0.1220 0.2265 0.1213 1
Pr3 0.1942 0.3494 0.6930 1
Er1 0.0000 0.2439 0.5000 1

***

[13]
# LiAc3Au3 | Alexandria via LeMat-Bulk | GGA-PBE | optimized geometry
# **ΔE_f**: -0.670 eV/atom
data_LiAc3Au3
_cell_length_a 4.2515
_cell_length_b 4.6278
_cell_length_c 20.8562
_cell_angle_alpha 90.00
_cell_angle_beta 90.00
_cell_angle_gamma 90.00
_space_group_name_H-M_alt 'I m m 2'
_space_group_IT_number 44
loop_
_space_group_symop_operation_xyz
'x,y,z'
'-x,-y,z'
'-x,y,z'
'x,-y,z'
'x+1/2,y+1/2,z+1/2'
'-x+1/2,-y+1/2,z+1/2'
'-x+1/2,y+1/2,z+1/2'
'x+1/2,-y+1/2,z+1/2'
loop_
_atom_site_label
_atom_site_fract_x
_atom_site_fract_y
_atom_site_fract_z
_atom_site_occupancy
Li1 0.0000 0.0000 0.0000 1
Ac1 0.0000 0.0000 0.4284 1
Ac2 0.0000 0.5000 0.2570 1
Ac3 0.0000 0.5000 0.6207 1
Au1 0.0000 0.0000 0.8778 1
Au2 0.0000 0.5000 0.0707 1
Au3 0.0000 0.5000 0.7819 1

***

[14]
# Ba2SrNp3N8 | Alexandria via LeMat-Bulk | GGA-PBE | optimized geometry
# **Formation energy without anion corrections**: -0.9250 eV per atom
data_Ba2SrNp3N8
_cell_length_a 7.0110
_cell_length_b 7.0110
_cell_length_c 19.0341
_cell_angle_alpha 90.00
_cell_angle_beta 90.00
_cell_angle_gamma 120.00
_space_group_name_H-M_alt 'R 3 m'
_space_group_IT_number 160
_space_group_name_Hall 'R 3 -2"'
loop_
_atom_site_label
_atom_site_fract_x
_atom_site_fract_y
_atom_site_fract_z
_atom_site_occupancy
Ba1 0.0000 0.0000 0.0000 1
Ba2 0.0000 0.0000 0.3788 1
Sr1 0.0000 0.0000 0.7876 1
Np1 0.1670 0.3340 0.2124 1
N1 0.0000 0.0000 0.1564 1
N2 0.0000 0.0000 0.6013 1
N3 0.0539 0.5270 0.1572 1
N4 0.1911 0.3821 0.9324 1

***

[15]
# La2YAg | Alexandria via LeMat-Bulk | GGA-PBE | optimized geometry
# **ΔE_f**: -0.105 eV/atom
# **ΔE to the lowest computed polymorph**: 21 meV/atom
data_La2YAg
_cell_length_a 3.8040
_cell_length_b 5.6833
_cell_length_c 11.5283
_cell_angle_alpha 90.00
_cell_angle_beta 90.00
_cell_angle_gamma 90.00
_space_group_name_H-M_alt 'I m m 2'
_space_group_IT_number 44
loop_
_space_group_symop_operation_xyz
'x,y,z'
'-x,-y,z'
'-x,y,z'
'x,-y,z'
'x+1/2,y+1/2,z+1/2'
'-x+1/2,-y+1/2,z+1/2'
'-x+1/2,y+1/2,z+1/2'
'x+1/2,-y+1/2,z+1/2'
loop_
_atom_site_label
_atom_site_fract_x
_atom_site_fract_y
_atom_site_fract_z
_atom_site_occupancy
La1 0.0000 0.0000 0.0000 1
La2 0.0000 0.5000 0.2180 1
Y1 0.0000 0.5000 0.7824 1
Ag1 0.0000 0.0000 0.4886 1

***

[16]
# Na3CaIn3 | Alexandria via LeMat-Bulk | GGA-PBE | optimized geometry
# **ΔE_f**: 0.403 eV/atom
data_Na3CaIn3
_cell_length_a 8.2252
_cell_length_b 8.2252
_cell_length_c 8.2252
_cell_angle_alpha 90.00
_cell_angle_beta 90.00
_cell_angle_gamma 90.00
_space_group_name_H-M_alt 'P m -3 n'
_space_group_IT_number 223
_space_group_name_Hall '-P 4n 2 3'
loop_
_atom_site_label
_atom_site_fract_x
_atom_site_fract_y
_atom_site_fract_z
_atom_site_occupancy
Na1 0.0000 0.2500 0.5000 1
Ca1 0.0000 0.0000 0.0000 1
In1 0.0000 0.5000 0.2500 1

***

[17]
# Er4Cu3Pt | Alexandria via LeMat-Bulk | GGA-PBE | optimized geometry
# **ΔE_f**: -0.560 eV/atom
data_Er4Cu3Pt
_cell_length_a 3.7417
_cell_length_b 4.4273
_cell_length_c 10.2609
_cell_angle_alpha 90.00
_cell_angle_beta 90.00
_cell_angle_gamma 90.00
_space_group_name_H-M_alt 'P m m 2'
_space_group_IT_number 25
loop_
_space_group_symop_operation_xyz
'x,y,z'
'-x,-y,z'
'-x,y,z'
'x,-y,z'
loop_
_atom_site_label
_atom_site_fract_x
_atom_site_fract_y
_atom_site_fract_z
_atom_site_occupancy
Er1 0.0000 0.0000 0.0000 1
Er2 0.0000 0.5000 0.2774 1
Er3 0.5000 0.0000 0.4976 1
Er4 0.5000 0.5000 0.7781 1
Cu1 0.0000 0.0000 0.7103 1
Cu2 0.0000 0.5000 0.5665 1
Cu3 0.5000 0.5000 0.0585 1
Pt1 0.5000 0.0000 0.2178 1

***

[18]
# Cu2AsRu | Alexandria via LeMat-Bulk | GGA-PBE | optimized geometry
# **ΔE_f**: 0.184 eV/atom
data_Cu2AsRu
_cell_length_a 2.8820
_cell_length_b 2.8820
_cell_length_c 23.7897
_cell_angle_alpha 90.00
_cell_angle_beta 90.00
_cell_angle_gamma 120.00
_space_group_name_H-M_alt 'R 3 m'
_space_group_IT_number 160
_space_group_name_Hall 'R 3 -2"'
loop_
_atom_site_label
_atom_site_fract_x
_atom_site_fract_y
_atom_site_fract_z
_atom_site_occupancy
Cu1 0.0000 0.0000 0.0000 1
Cu2 0.0000 0.0000 0.2535 1
As1 0.0000 0.0000 0.4982 1
Ru1 0.0000 0.0000 0.7544 1

***

[19]
# Ca6CdNi2 | Alexandria via LeMat-Bulk | GGA-PBE | optimized geometry
# **ΔE_f**: -0.153 eV/atom
data_Ca6CdNi2
_cell_length_a 9.7710
_cell_length_b 9.9919
_cell_length_c 10.6796
_cell_angle_alpha 90.00
_cell_angle_beta 90.00
_cell_angle_gamma 90.00
_space_group_name_H-M_alt 'I m m m'
_space_group_IT_number 71
_space_group_name_Hall '-I 2 2'
loop_
_atom_site_label
_atom_site_fract_x
_atom_site_fract_y
_atom_site_fract_z
_atom_site_occupancy
Ca1 0.0000 0.2070 0.2297 1
Ca2 0.1930 0.5000 0.1770 1
Ca3 0.2085 0.3175 0.5000 1
Cd1 0.0000 0.0000 0.0000 1
Cd2 0.0000 0.0000 0.5000 1
Ni1 0.0000 0.3795 0.0000 1
Ni2 0.0000 0.5000 0.3898 1

***

[20]
# Lu2GeTe | Alexandria via LeMat-Bulk | GGA-PBE | optimized geometry
# **Formation energy without anion corrections**: -1.0974 eV per atom
data_Lu2GeTe
_cell_length_a 4.1689
_cell_length_b 4.1689
_cell_length_c 20.8668
_cell_angle_alpha 90.00
_cell_angle_beta 90.00
_cell_angle_gamma 120.00
_space_group_name_H-M_alt 'R -3 m'
_space_group_IT_number 166
_space_group_name_Hall '-R 3 2"'
loop_
_atom_site_label
_atom_site_fract_x
_atom_site_fract_y
_atom_site_fract_z
_atom_site_occupancy
Lu1 0.0000 0.0000 0.2387 1
Ge1 0.0000 0.0000 0.5000 1
Te1 0.0000 0.0000 0.0000 1

***

no.,V (Å³/f.u.),final energy (eV per cell),Fermi-level density of states (states/eV per cell)
1,197,-53.95,0.0
2,173,-68.46,11.9
3,47,-58.40,1.3
4,252,-103.27,21.2
5,100,-15.99,7.9
6,252,-44.44,3.9
7,113,-97.52,10.9
8,116,-42.14,17.4
9,84,-21.90,4.4
10,129,-35.87,12.2
11,61,-93.58,6.3
12,519,-126.72,37.9
13,205,-57.53,9.1
14,270,-371.71,26.3
15,125,-39.18,10.1
16,278,-22.70,10.9
17,170,-41.06,4.6
18,57,-64.14,8.2
19,261,-103.47,27.9
20,105,-63.57,1.8